Entry 1:
The following is a PBE calculation of crystalline PaNbSi2Rh at its relaxed geometry, from the Alexandria database.

abc: 4.078 4.078 10.720
angles: 90.00 90.00 90.00
Space group I-4m2 (No. 119)
One atom of each set of equivalent atoms:
Pa 0.000 0.000 0.000 x2
Nb 0.000 0.500 0.750 x2
Si 0.000 0.000 0.391 x4
Rh 0.000 0.500 0.250 x2

Properties
DOS at the Fermi energy	6.9	states/eV/f.u.
formation energy from raw total energies	-0.6375	eV per atom
total magnetization	0.00	μB/cell

***

Entry 2:
The following is a PBE calculation of crystalline PaTiNbRh at its relaxed geometry, from the Alexandria database.

abc: 6.661 6.661 6.661
angles: 90.00 90.00 90.00
Space group F-43m (No. 216)
One atom of each set of equivalent atoms:
Pa 0.000 0.000 0.000 x4
Ti 0.000 0.000 0.500 x4
Nb 0.250 0.250 0.250 x4
Rh 0.250 0.250 0.750 x4

Properties
DOS at the Fermi energy	3.2	states/eV/f.u.
DFT formation energy	-0.32	eV per atom
total magnetization	0.00	μB/cell

***

Entry 3:
The following is a PBE calculation of crystalline PaNbRu4 at its relaxed geometry, from the Alexandria database.

abc: 9.314 3.049 7.580
angles: 90.00 112.74 90.00
Space group C2/m (No. 12)
One atom of each set of equivalent atoms:
Pa 0.000 0.000 0.000 x2
Nb 0.000 0.000 0.500 x2
Ru 0.164 0.500 0.355 x4
Ru 0.174 0.500 0.833 x4

Properties
DOS at the Fermi energy	8.2	states/eV/f.u.
DFT formation energy	-0.05	eV per atom
ΔE to the lowest computed polymorph	0.049	eV/atom
total magnetization	0.00	μB/cell

***

Entry 4:
The following is a PBE calculation of crystalline Pa2NbRu5 at its relaxed geometry, from the Alexandria database.

abc: 5.816 11.214 4.282
angles: 90.00 90.00 90.00
Space group Pbam (No. 55)
One atom of each set of equivalent atoms:
Pa 0.159 0.145 0.000 x4
Nb 0.000 0.500 0.500 x2
Ru 0.000 0.000 0.500 x2
Ru 0.081 0.743 0.500 x4
Ru 0.177 0.397 0.000 x4

Properties
DOS at the Fermi energy	5.5	states/eV/f.u.
DFT formation energy	-0.40	eV per atom
total magnetization	0.00	μB/cell

***

Entry 5:
The following is a PBE calculation of crystalline Pa2NbRu at its relaxed geometry, from the Alexandria database.

abc: 4.9207 4.9207 12.0937
angles: 90.00 90.00 120.00
Space group R-3m (No. 166, hexagonal axes)
One atom of each set of equivalent atoms:
Pa 0.0000 0.0000 0.2498 x6
Nb 0.0000 0.0000 0.0000 x3
Ru 0.0000 0.0000 0.5000 x3

Properties
DOS at the Fermi energy	5.7	states/eV/f.u.
DFT formation energy	-0.02	eV per atom
ΔE to the lowest computed polymorph	0.028	eV/atom
total magnetization	0.00	μB/cell

***

Entry 6:
The following is a PBE calculation of crystalline PaNbRu4 at its relaxed geometry, from the Alexandria database.

abc: 7.407 7.407 7.407
angles: 90.00 90.00 90.00
Space group F-43m (No. 216)
One atom of each set of equivalent atoms:
Pa 0.000 0.000 0.000 x4
Nb 0.250 0.250 0.250 x4
Ru 0.125 0.125 0.625 x16

Properties
DOS at the Fermi energy	10.6	states/eV/f.u.
DFT formation energy	-0.10	eV per atom
ΔE to the lowest computed polymorph	0.000	eV/atom
total magnetization	0.00	μB/cell

***

Question: Which of these has the highest DOS at the Fermi energy?
Answer: number 6

***

Copy entry 6 word for word.
The following is a PBE calculation of crystalline PaNbRu4 at its relaxed geometry, from the Alexandria database.

abc: 7.407 7.407 7.407
angles: 90.00 90.00 90.00
Space group F-43m (No. 216)
One atom of each set of equivalent atoms:
Pa 0.000 0.000 0.000 x4
Nb 0.250 0.250 0.250 x4
Ru 0.125 0.125 0.625 x16

Properties
DOS at the Fermi energy	10.6	states/eV/f.u.
DFT formation energy	-0.10	eV per atom
ΔE to the lowest computed polymorph	0.000	eV/atom
total magnetization	0.00	μB/cell